First-principles (meta-GGA SCAN) data for a crystal of SmPdN3 relaxed with PBEsol, as listed in Alexandria. Values from VASP.

## Properties
As for the total energy: -107.640 eV per formula unit. For the magnetic moment, the calculation gives 0.0 μB/cell.

```
&SYSTEM
  ibrav = 0, nat = 10, ntyp = 3
/
ATOMIC_SPECIES
Pd 106.42 Pd.upf
Sm 150.36 Sm.upf
N 14.01 N.upf
ATOMIC_POSITIONS angstrom
Pd 1.838 0.813 1.932
Pd 0.000 2.570 5.804
Sm 1.838 4.093 0.930
Sm 0.000 -0.710 6.805
N 0.000 1.532 7.412
N 1.838 1.851 0.324
N 1.838 0.198 3.663
N 0.000 3.361 2.936
N 0.000 3.185 4.072
N 1.838 0.022 4.799
CELL_PARAMETERS angstrom
3.676 0.000 0.000
-1.838 5.879 -0.040
0.000 -2.496 7.775
```



First-principles (meta-GGA SCAN) data for a crystal of ScRhPb3 relaxed with PBEsol, as listed in Alexandria. Values from VASP.

## Properties
As for the total energy: -270.789 eV per formula unit. For the magnetic moment, the calculation gives 1.6 μB/cell. As for the density of states at the Fermi level: 5.9 states/eV per cell.

```
&SYSTEM
  ibrav = 0, nat = 5, ntyp = 3
/
ATOMIC_SPECIES
Pb 207.20 Pb.upf
Sc 44.96 Sc.upf
Rh 102.91 Rh.upf
ATOMIC_POSITIONS angstrom
Pb 1.911 -1.785 -0.546
Pb 0.563 -0.194 2.604
Pb -1.779 -1.978 0.237
Sc 0.000 0.000 0.000
Rh 0.694 -3.956 2.296
CELL_PARAMETERS angstrom
-3.559 -3.956 0.475
3.822 -3.569 -1.091
1.125 -0.387 5.208
```



First-principles (meta-GGA SCAN) data for a crystal of Li2MgIn relaxed with PBEsol, as listed in Alexandria. Values from VASP.

## Properties
As for the total energy: -44.043 eV per formula unit. For the magnetic moment, the calculation gives 0.0 μB/cell. As for the density of states at the Fermi level: 1.5 states/eV per cell.

```
&SYSTEM
  ibrav = 0, nat = 4, ntyp = 3
/
ATOMIC_SPECIES
Mg 24.30 Mg.upf
In 114.82 In.upf
Li 6.94 Li.upf
ATOMIC_POSITIONS angstrom
Mg 0.000 0.000 3.276
In 1.705 1.705 5.166
Li 0.000 0.000 0.022
Li 1.705 1.705 1.558
CELL_PARAMETERS angstrom
3.411 0.000 0.000
0.000 3.411 0.000
0.000 0.000 6.681
```



First-principles (meta-GGA SCAN) data for a crystal of LaIrSe2Br relaxed with PBEsol, as listed in Alexandria. Values from VASP.

## Properties
As for the total energy: -171.692 eV per formula unit. For the magnetic moment, the calculation gives 4.3 μB/cell. As for the density of states at the Fermi level: 4.9 states/eV per cell.

```
&SYSTEM
  ibrav = 0, nat = 5, ntyp = 4
/
ATOMIC_SPECIES
Ir 192.22 Ir.upf
Se 78.96 Se.upf
Br 79.90 Br.upf
La 138.91 La.upf
ATOMIC_POSITIONS angstrom
Ir -4.790 -0.789 0.461
Se -2.008 2.005 0.034
Se -1.257 -1.296 2.189
Br -1.524 -1.497 -1.762
La 0.000 0.000 0.000
CELL_PARAMETERS angstrom
-3.048 -2.994 -3.523
-2.514 -2.593 4.378
-4.016 4.010 0.068
```



First-principles (meta-GGA SCAN) data for a crystal of MoAsAu2 relaxed with PBEsol, as listed in Alexandria. Values from VASP.

## Properties
As for the total energy: -191.711 eV per formula unit. For the magnetic moment, the calculation gives 1.1 μB/cell. As for the density of states at the Fermi level: 2.2 states/eV per cell.

```
&SYSTEM
  ibrav = 0, nat = 4, ntyp = 3
/
ATOMIC_SPECIES
Mo 95.94 Mo.upf
Au 196.97 Au.upf
As 74.92 As.upf
ATOMIC_POSITIONS angstrom
Mo 1.366 2.505 2.505
Au 0.000 0.000 2.505
Au 0.000 2.505 0.000
As 1.366 0.000 0.000
CELL_PARAMETERS angstrom
2.732 0.000 0.000
0.000 5.010 0.000
0.000 0.000 5.010
```



First-principles (meta-GGA SCAN) data for a crystal of CsMoAs2Br relaxed with PBEsol, as listed in Alexandria. Values from VASP.

## Properties
As for the total energy: -123.487 eV per formula unit. For the magnetic moment, the calculation gives 2.7 μB/cell. As for the density of states at the Fermi level: 3.7 states/eV per cell.

```
&SYSTEM
  ibrav = 0, nat = 5, ntyp = 4
/
ATOMIC_SPECIES
Cs 132.91 Cs.upf
Mo 95.94 Mo.upf
As 74.92 As.upf
Br 79.90 Br.upf
ATOMIC_POSITIONS angstrom
Cs 0.000 0.000 0.000
Mo -1.687 4.618 -0.612
As -2.562 0.822 0.680
As -0.254 1.248 -2.466
Br 1.129 2.547 1.173
CELL_PARAMETERS angstrom
-0.508 2.496 -4.932
-5.124 1.645 1.360
2.258 5.095 2.347
```



> Among the records above, which one has the highest magnetic moment?

LaIrSe2Br



> Which value of magnetic moment does entry 2 give?

1.6 μB/cell



> magnetic moment of number 1 (SmPdN3)?

0.0 μB/cell